First-principles (PBE) data for an optimized crystal structure of LaMgZn2Co, as listed in the Alexandria database.

Computed properties:
**DFT formation energy**: -89.2 meV per atom
**VASP energy**: -16.62 eV/cell

Structure (CIF):
```
data_LaMgZn2Co
_chemical_formula_sum 'La1 Mg1 Zn2 Co1'
_cell_length_a 4.700
_cell_length_b 4.700
_cell_length_c 4.685
_cell_angle_alpha 90.00
_cell_angle_beta 90.00
_cell_angle_gamma 90.00
_space_group_name_H-M_alt 'P 4/m m m'
_space_group_IT_number 123
_space_group_name_Hall '-P 4 2'
loop_
_atom_site_label
_atom_site_type_symbol
_atom_site_fract_x
_atom_site_fract_y
_atom_site_fract_z
La1 La 0.000 0.000 0.000
Mg1 Mg 0.500 0.500 0.000
Zn1 Zn 0.000 0.500 0.500
Co1 Co 0.500 0.500 0.500
```

First-principles (PBE) data for an optimized crystal structure of La2MgZnCo, as listed in the Alexandria database.

Computed properties:
**DFT formation energy**: -104.6 meV per atom
**Distance to the lowest polymorph of the same formula**: 24 meV/atom
**VASP energy**: -20.35 eV/cell

Structure (CIF):
```
data_La2MgZnCo
_chemical_formula_sum 'La2 Mg1 Zn1 Co1'
_cell_length_a 5.197
_cell_length_b 5.197
_cell_length_c 5.022
_cell_angle_alpha 90.00
_cell_angle_beta 90.00
_cell_angle_gamma 90.00
_space_group_name_H-M_alt 'P 4/m m m'
_space_group_IT_number 123
_space_group_name_Hall '-P 4 2'
loop_
_atom_site_label
_atom_site_type_symbol
_atom_site_fract_x
_atom_site_fract_y
_atom_site_fract_z
La1 La 0.000 0.500 0.000
Mg1 Mg 0.000 0.000 0.500
Zn1 Zn 0.500 0.500 0.500
Co1 Co 0.000 0.000 0.000
```

First-principles (PBE) data for an optimized crystal structure of LaMg2ZnCo, as listed in the Alexandria database.

Computed properties:
**DFT formation energy**: 13.6 meV per atom
**Distance to the lowest polymorph of the same formula**: 27 meV/atom
**VASP energy**: -16.43 eV/cell

Structure (CIF):
```
data_LaMg2ZnCo
_chemical_formula_sum 'La1 Mg2 Zn1 Co1'
_cell_length_a 4.984
_cell_length_b 4.984
_cell_length_c 4.950
_cell_angle_alpha 90.00
_cell_angle_beta 90.00
_cell_angle_gamma 90.00
_space_group_name_H-M_alt 'P 4/m m m'
_space_group_IT_number 123
_space_group_name_Hall '-P 4 2'
loop_
_atom_site_label
_atom_site_type_symbol
_atom_site_fract_x
_atom_site_fract_y
_atom_site_fract_z
La1 La 0.000 0.000 0.000
Mg1 Mg 0.000 0.500 0.500
Zn1 Zn 0.500 0.500 0.000
Co1 Co 0.000 0.000 0.500
```

First-principles (PBE) data for an optimized crystal structure of La2MgZnCo, as listed in the Alexandria database.

Computed properties:
**DFT formation energy**: -128.2 meV per atom
**Distance to the lowest polymorph of the same formula**: 0 meV/atom
**VASP energy**: -20.47 eV/cell

Structure (CIF):
```
data_La2MgZnCo
_chemical_formula_sum 'La2 Mg1 Zn1 Co1'
_cell_length_a 5.245
_cell_length_b 5.245
_cell_length_c 4.846
_cell_angle_alpha 90.00
_cell_angle_beta 90.00
_cell_angle_gamma 90.00
_space_group_name_H-M_alt 'P 4/m m m'
_space_group_IT_number 123
_space_group_name_Hall '-P 4 2'
loop_
_atom_site_label
_atom_site_type_symbol
_atom_site_fract_x
_atom_site_fract_y
_atom_site_fract_z
La1 La 0.000 0.500 0.000
Mg1 Mg 0.000 0.000 0.500
Zn1 Zn 0.500 0.500 0.500
Co1 Co 0.500 0.500 0.000
```

First-principles (PBE) data for an optimized crystal structure of La2MnCo, as listed in the Alexandria database.

Computed properties:
**DFT formation energy**: 198.7 meV per atom
**Distance to the lowest polymorph of the same formula**: 137 meV/atom
**VASP energy**: -25.34 eV/cell

Structure (CIF):
```
data_La2MnCo
_chemical_formula_sum 'La2 Mn1 Co1'
_cell_length_a 3.328
_cell_length_b 3.328
_cell_length_c 8.553
_cell_angle_alpha 90.00
_cell_angle_beta 90.00
_cell_angle_gamma 90.00
_space_group_name_H-M_alt 'P 4 m m'
_space_group_IT_number 99
loop_
_space_group_symop_operation_xyz
'x,y,z'
'-y,x,z'
'-x,-y,z'
'y,-x,z'
'-x,y,z'
'y,x,z'
'x,-y,z'
'-y,-x,z'
loop_
_atom_site_label
_atom_site_type_symbol
_atom_site_fract_x
_atom_site_fract_y
_atom_site_fract_z
La1 La 0.000 0.000 0.000
La2 La 0.500 0.500 0.398
Mn1 Mn 0.000 0.000 0.651
Co1 Co 0.500 0.500 0.778
```

First-principles (PBE) data for an optimized crystal structure of La4MnCo, as listed in the Alexandria database.

Computed properties:
**DFT formation energy**: 914.2 meV per atom
**VASP energy**: -122.00 eV/cell

Structure (CIF):
```
data_La4MnCo
_chemical_formula_sum 'La16 Mn4 Co4'
_cell_length_a 8.977
_cell_length_b 8.977
_cell_length_c 8.977
_cell_angle_alpha 90.00
_cell_angle_beta 90.00
_cell_angle_gamma 90.00
_space_group_name_H-M_alt 'F -4 3 m'
_space_group_IT_number 216
_space_group_name_Hall 'F -4 2 3'
loop_
_atom_site_label
_atom_site_type_symbol
_atom_site_fract_x
_atom_site_fract_y
_atom_site_fract_z
La1 La 0.124 0.124 0.376
Mn1 Mn 0.250 0.250 0.750
Co1 Co 0.000 0.000 0.000
```

First-principles (PBE) data for an optimized crystal structure of LaMnCo, as listed in the Alexandria database.

Computed properties:
**DFT formation energy**: 1008.4 meV per atom
**VASP energy**: -72.71 eV/cell

Structure (CIF):
```
data_LaMnCo
_chemical_formula_sum 'La4 Mn4 Co4'
_cell_length_a 6.251
_cell_length_b 6.251
_cell_length_c 6.251
_cell_angle_alpha 90.00
_cell_angle_beta 90.00
_cell_angle_gamma 90.00
_space_group_name_H-M_alt 'F -4 3 m'
_space_group_IT_number 216
_space_group_name_Hall 'F -4 2 3'
loop_
_atom_site_label
_atom_site_type_symbol
_atom_site_fract_x
_atom_site_fract_y
_atom_site_fract_z
La1 La 0.000 0.000 0.000
Mn1 Mn 0.250 0.250 0.250
Co1 Co 0.250 0.250 0.750
```

First-principles (PBE) data for an optimized crystal structure of LaMn2Co2, as listed in the Alexandria database.

Computed properties:
**DFT formation energy**: 407.3 meV per atom
**Distance to the lowest polymorph of the same formula**: 225 meV/atom
**VASP energy**: -70.88 eV/cell

Structure (CIF):
```
data_LaMn2Co2
_chemical_formula_sum 'La2 Mn4 Co4'
_cell_length_a 7.240
_cell_length_b 7.240
_cell_length_c 2.667
_cell_angle_alpha 90.00
_cell_angle_beta 90.00
_cell_angle_gamma 90.00
_space_group_name_H-M_alt 'P 4/m b m'
_space_group_IT_number 127
_space_group_name_Hall '-P 4 2ab'
loop_
_atom_site_label
_atom_site_type_symbol
_atom_site_fract_x
_atom_site_fract_y
_atom_site_fract_z
La1 La 0.000 0.000 0.000
Mn1 Mn 0.111 0.389 0.000
Co1 Co 0.172 0.672 0.500
```